Crystalline Sb2TeSe at its relaxed geometry. Source: Alexandria via LeMat-Bulk, functional PBE.

It has space group F-43m (No. 216), with a = 7.449 Å, b = 7.449 Å, c = 7.449 Å, α = 90.00°, β = 90.00° and γ = 90.00°. The inequivalent atoms are Sb at (0.000, 0.000, 0.000), Sb at (0.250, 0.250, 0.250), Te at (0.250, 0.250, 0.750) and Se at (0.000, 0.000, 0.500).

Its density of states at the Fermi level is 0.890 states/eV per atom. The value obtained for the raw formation energy is 254 meV per atom.